# 1
Material: TePb3
Method: DFT, GGA-PBE
State: relaxed

Cell: 5.619 5.619 5.619 Å, 60.00 60.00 60.00°
Atoms (fractional coordinates):
Pb 0.000 0.000 0.000
Pb 0.250 0.250 0.250
Pb 0.500 0.500 0.500
Te 0.750 0.750 0.750

Energy relative to the lowest polymorph listed for this composition = 90.5 meV per atom
Raw formation energy = 0.03 eV/atom
SG = Fm-3m (225)



# 2
Material: CaTbScCd
Method: DFT, GGA-PBE
State: relaxed

Cell: 5.424 5.424 5.424 Å, 60.00 60.00 60.00°
Atoms (fractional coordinates):
Sc 0.250 0.250 0.250
Ca 0.500 0.500 0.500
Tb 0.000 0.000 0.000
Cd 0.750 0.750 0.750

SG = F-43m (216)
ΔE_f = 0.06 eV per formula unit



Number 1: volume 31.4 Å³/atom. Number 2: volume 28.2 Å³/atom.